Below is an optimized crystal structure of YAlZn, with properties calculated at the GGA-PBE level.

Results
Calculated total energy = -25.8 eV per cell
Calculated volume = 125 Å³ per cell
Formation energy = -45 kJ per mole of atoms
Magnetization = 0.0 μB per cell

Cell: 4.4761 4.4761 7.2231 Å, 90.00 90.00 120.00°
Closest atoms and distances in Å follow each position.
Atoms (fractional coordinates):
Al 0.3333 0.6667 0.2500  3 Zn 2.58
Al 0.6667 0.3333 0.7500  3 Zn 2.58
Y 0.0000 0.0000 0.0000  6 Zn 3.15, 6 Al 3.15
Y 0.0000 0.0000 0.5000  6 Zn 3.15, 6 Al 3.15
Zn 0.3333 0.6667 0.7500  3 Al 2.58
Zn 0.6667 0.3333 0.2500  3 Al 2.58